Density functional theory data (PBE+U) for a relaxed structure of Hf2TaMoO.

The value obtained for the uncorrected energy is -39.86 eV for the cell shown. The magnetic moment is 0.000 μB per atom. Its density of states at the Fermi level is 1.311 states/eV per atom.

Lattice parameters (Å, degrees): 5.2681 3.7402 5.2681 90.00 90.00 90.00
Last column: nearest neighbours and their distance in Å.
Sites, in units of the cell vectors:
Mo  0.0000  0.0000  0.0000  2 O 1.87
Hf  0.0000  0.0000  0.5000  2 Mo 2.63
Hf  0.5000  0.0000  0.0000  2 Mo 2.63
O  0.0000  0.5000  0.0000  2 Mo 1.87
Ta  0.5000  0.5000  0.5000  8 Hf 3.23